The following is a DFT calculation (PBE) of crystalline Li2AgPd at its relaxed geometry.

Formation energy ... -0.201 eV/atom
Energy above the most stable polymorph in this dataset ... 133.5 meV per atom
E_tot ... -12.7 eV for the cell shown

a b c (Å): 9.4042 9.4042 9.4042
angles (deg): 17.38 17.38 17.38
Element x y z (fractional)
Li (0.0944, 0.0944, 0.0944)
Li (0.9056, 0.9056, 0.9056)
Ag (0.0000, 0.0000, 0.0000)
Pd (0.5000, 0.5000, 0.5000)



The following is a DFT calculation (PBE) of crystalline LiAg5Pd2 at its relaxed geometry.

Formation energy ... -0.128 eV/atom
Energy above the most stable polymorph in this dataset ... 0.0 meV per atom
E_tot ... -55.2 eV for the cell shown

a b c (Å): 5.6966 11.4253 4.1000
angles (deg): 90.00 90.00 90.00
Element x y z (fractional)
Li (0.0000, 0.0000, 0.0000)
Li (0.5000, 0.5000, 0.0000)
Ag (0.0000, 0.5000, 0.0000)
Ag (0.0047, 0.2476, 0.0000)
Ag (0.2432, 0.8775, 0.5000)
Ag (0.2568, 0.3775, 0.5000)
Ag (0.4953, 0.7476, 0.0000)
Ag (0.5000, 0.0000, 0.0000)
Ag (0.5047, 0.2524, 0.0000)
Ag (0.7432, 0.6225, 0.5000)
Ag (0.7568, 0.1225, 0.5000)
Ag (0.9953, 0.7524, 0.0000)
Pd (0.2474, 0.6240, 0.5000)
Pd (0.2526, 0.1240, 0.5000)
Pd (0.7474, 0.8760, 0.5000)
Pd (0.7526, 0.3760, 0.5000)



The following is a DFT calculation (PBE) of crystalline LiAg12Pd6 at its relaxed geometry.

Formation energy ... -0.034 eV/atom
E_tot ... -67.9 eV for the cell shown

a b c (Å): 6.8881 6.8881 6.8881
angles (deg): 89.85 89.85 89.85
Element x y z (fractional)
Li (0.0000, 0.0000, 0.0000)
Ag (0.0407, 0.3737, 0.1513)
Ag (0.1513, 0.0407, 0.3737)
Ag (0.1940, 0.5666, 0.4787)
Ag (0.3737, 0.1513, 0.0407)
Ag (0.4334, 0.5213, 0.8060)
Ag (0.4787, 0.1940, 0.5666)
Ag (0.5213, 0.8060, 0.4334)
Ag (0.5666, 0.4787, 0.1940)
Ag (0.6263, 0.8487, 0.9593)
Ag (0.8060, 0.4334, 0.5213)
Ag (0.8487, 0.9593, 0.6263)
Ag (0.9593, 0.6263, 0.8487)
Pd (0.1145, 0.2613, 0.7417)
Pd (0.2583, 0.8855, 0.7387)
Pd (0.2613, 0.7417, 0.1145)
Pd (0.7387, 0.2583, 0.8855)
Pd (0.7417, 0.1145, 0.2613)
Pd (0.8855, 0.7387, 0.2583)



The following is a DFT calculation (PBE) of crystalline Li8Ag3Pd2 at its relaxed geometry.

Formation energy ... -0.173 eV/atom
Energy above the most stable polymorph in this dataset ... 0.0 meV per atom
E_tot ... -36.5 eV for the cell shown

a b c (Å): 7.6620 7.6620 4.5320
angles (deg): 90.00 90.00 123.52
Element x y z (fractional)
Li (0.1146, 0.8854, 0.0000)
Li (0.1800, 0.4223, 0.5000)
Li (0.3116, 0.6884, 0.0000)
Li (0.4223, 0.1800, 0.5000)
Li (0.5777, 0.8200, 0.5000)
Li (0.6884, 0.3116, 0.0000)
Li (0.8200, 0.5777, 0.5000)
Li (0.8854, 0.1146, 0.0000)
Ag (0.0000, 0.0000, 0.5000)
Ag (0.3097, 0.3097, 0.0000)
Ag (0.6903, 0.6903, 0.0000)
Pd (0.2161, 0.7839, 0.5000)
Pd (0.7839, 0.2161, 0.5000)



The following is a DFT calculation (PBE) of crystalline Li9Ag2Pd at its relaxed geometry.

Formation energy ... -0.169 eV/atom
E_tot ... -30.1 eV for the cell shown

a b c (Å): 5.1238 5.1848 8.0267
angles (deg): 94.32 95.49 95.96
Element x y z (fractional)
Li (0.0000, 0.0000, 0.0000)
Li (0.2381, 0.6289, 0.4512)
Li (0.2402, 0.1505, 0.6965)
Li (0.2984, 0.5331, 0.0940)
Li (0.3171, 0.1274, 0.3061)
Li (0.6829, 0.8726, 0.6939)
Li (0.7016, 0.4669, 0.9060)
Li (0.7598, 0.8495, 0.3035)
Li (0.7619, 0.3711, 0.5488)
Ag (0.1704, 0.6469, 0.7733)
Ag (0.8296, 0.3531, 0.2267)
Pd (0.5000, 0.0000, 0.0000)



The following is a DFT calculation (PBE) of crystalline Li7AgPd3 at its relaxed geometry.

Formation energy ... -0.306 eV/atom
Energy above the most stable polymorph in this dataset ... 0.0 meV per atom
E_tot ... -70.4 eV for the cell shown

a b c (Å): 10.6808 10.6808 11.8040
angles (deg): 90.00 90.00 164.85
Element x y z (fractional)
Li (0.0582, 0.9418, 0.6262)
Li (0.0582, 0.9418, 0.8738)
Li (0.0978, 0.9022, 0.1008)
Li (0.0978, 0.9022, 0.3992)
Li (0.1867, 0.8133, 0.7500)
Li (0.2236, 0.7764, 0.0956)
Li (0.2236, 0.7764, 0.4044)
Li (0.7764, 0.2236, 0.5956)
Li (0.7764, 0.2236, 0.9044)
Li (0.8133, 0.1867, 0.2500)
Li (0.9022, 0.0978, 0.6008)
Li (0.9022, 0.0978, 0.8992)
Li (0.9418, 0.0582, 0.1262)
Li (0.9418, 0.0582, 0.3738)
Ag (0.4722, 0.5278, 0.7500)
Ag (0.5278, 0.4722, 0.2500)
Pd (0.3343, 0.6657, 0.7500)
Pd (0.3436, 0.6564, 0.0585)
Pd (0.3436, 0.6564, 0.4415)
Pd (0.6564, 0.3436, 0.5585)
Pd (0.6564, 0.3436, 0.9415)
Pd (0.6657, 0.3343, 0.2500)



The following is a DFT calculation (PBE) of crystalline Li6Ag3Pd2 at its relaxed geometry.

Formation energy ... -0.029 eV/atom
E_tot ... -30.7 eV for the cell shown

a b c (Å): 9.9762 9.9762 9.9762
angles (deg): 152.79 152.79 38.87
Element x y z (fractional)
Li (0.0861, 0.5861, 0.5000)
Li (0.2043, 0.2043, 0.0000)
Li (0.4139, 0.9139, 0.5000)
Li (0.5861, 0.0861, 0.5000)
Li (0.7957, 0.7957, 0.0000)
Li (0.9139, 0.4139, 0.5000)
Ag (0.3470, 0.3470, 0.0000)
Ag (0.5000, 0.5000, 0.0000)
Ag (0.6530, 0.6530, 0.0000)
Pd (0.0686, 0.0686, 0.0000)
Pd (0.9314, 0.9314, 0.0000)



The following is a DFT calculation (PBE) of crystalline Li5Ag2Pd at its relaxed geometry.

Formation energy ... -0.248 eV/atom
E_tot ... -22.5 eV for the cell shown

a b c (Å): 7.0452 7.0452 7.0452
angles (deg): 143.53 143.53 52.52
Element x y z (fractional)
Li (0.0000, 0.0000, 0.0000)
Li (0.1226, 0.6226, 0.5000)
Li (0.3774, 0.8774, 0.5000)
Li (0.6226, 0.1226, 0.5000)
Li (0.8774, 0.3774, 0.5000)
Ag (0.2554, 0.2554, 0.0000)
Ag (0.7446, 0.7446, 0.0000)
Pd (0.5000, 0.5000, 0.0000)



The following is a DFT calculation (PBE) of crystalline LiAg3Pd5 at its relaxed geometry.

Formation energy ... 0.182 eV/atom
E_tot ... -69.6 eV for the cell shown

a b c (Å): 7.7062 7.7062 7.7062
angles (deg): 123.52 123.52 84.01
Element x y z (fractional)
Li (0.2500, 0.7500, 0.5000)
Li (0.7500, 0.2500, 0.5000)
Ag (0.1217, 0.6217, 0.7434)
Ag (0.2500, 0.2500, 0.0000)
Ag (0.3783, 0.1217, 0.5000)
Ag (0.6217, 0.8783, 0.5000)
Ag (0.7500, 0.7500, 0.0000)
Ag (0.8783, 0.3783, 0.2566)
Pd (0.0000, 0.0000, 0.0000)
Pd (0.0451, 0.1652, 0.5000)
Pd (0.1652, 0.6652, 0.1201)
Pd (0.3348, 0.4549, 0.5000)
Pd (0.4549, 0.9549, 0.1201)
Pd (0.5000, 0.5000, 0.0000)
Pd (0.5451, 0.0451, 0.8799)
Pd (0.6652, 0.5451, 0.5000)
Pd (0.8348, 0.3348, 0.8799)
Pd (0.9549, 0.8348, 0.5000)



The following is a DFT calculation (PBE) of crystalline Li2Ag3Pd7 at its relaxed geometry.

Formation energy ... -0.125 eV/atom
E_tot ... -50.2 eV for the cell shown

a b c (Å): 5.0869 2.7660 13.5534
angles (deg): 90.00 96.00 90.00
Element x y z (fractional)
Li (0.0480, 0.0000, 0.1737)
Li (0.9520, 0.0000, 0.8263)
Ag (0.4540, 0.5000, 0.8395)
Ag (0.5000, 0.0000, 0.5000)
Ag (0.5460, 0.5000, 0.1605)
Pd (0.0000, 0.5000, 0.5000)
Pd (0.2243, 0.0000, 0.6700)
Pd (0.2484, 0.0000, 0.0010)
Pd (0.2678, 0.5000, 0.3284)
Pd (0.7322, 0.5000, 0.6716)
Pd (0.7516, 0.0000, 0.9990)
Pd (0.7757, 0.0000, 0.3300)



The following is a DFT calculation (PBE) of crystalline LiAg2Pd2 at its relaxed geometry.

Formation energy ... -0.047 eV/atom
Energy above the most stable polymorph in this dataset ... 131.6 meV per atom
E_tot ... -36.5 eV for the cell shown

a b c (Å): 7.7196 7.7196 3.0238
angles (deg): 90.00 90.00 90.00
Element x y z (fractional)
Li (0.0000, 0.0000, 0.0000)
Li (0.5000, 0.5000, 0.0000)
Ag (0.1689, 0.3311, 0.5000)
Ag (0.3311, 0.8311, 0.5000)
Ag (0.6689, 0.1689, 0.5000)
Ag (0.8311, 0.6689, 0.5000)
Pd (0.1278, 0.6278, 0.0000)
Pd (0.3722, 0.1278, 0.0000)
Pd (0.6278, 0.8722, 0.0000)
Pd (0.8722, 0.3722, 0.0000)



The following is a DFT calculation (PBE) of crystalline Li4Ag3Pd2 at its relaxed geometry.

Formation energy ... -0.291 eV/atom
Energy above the most stable polymorph in this dataset ... 0.0 meV per atom
E_tot ... -29.2 eV for the cell shown

a b c (Å): 4.5331 4.5331 8.1915
angles (deg): 97.42 97.42 55.17
Element x y z (fractional)
Li (0.0011, 0.0011, 0.1724)
Li (0.3304, 0.3304, 0.6052)
Li (0.6696, 0.6696, 0.3948)
Li (0.9989, 0.9989, 0.8276)
Ag (0.0000, 0.0000, 0.5000)
Ag (0.3306, 0.3306, 0.9281)
Ag (0.6694, 0.6694, 0.0719)
Pd (0.3408, 0.3408, 0.2809)
Pd (0.6592, 0.6592, 0.7191)



The following is a DFT calculation (PBE) of crystalline Li4Ag2Pd at its relaxed geometry.

Formation energy ... -0.154 eV/atom
Energy above the most stable polymorph in this dataset ... 61.6 meV per atom
E_tot ... -39.3 eV for the cell shown

a b c (Å): 6.6509 6.6509 6.6509
angles (deg): 109.34 109.34 109.74
Element x y z (fractional)
Li (0.1075, 0.2103, 0.7467)
Li (0.1108, 0.7136, 0.7533)
Li (0.2864, 0.0397, 0.3972)
Li (0.4636, 0.3608, 0.2533)
Li (0.6392, 0.8925, 0.1028)
Li (0.6425, 0.8892, 0.6028)
Li (0.7897, 0.5364, 0.8972)
Li (0.9603, 0.3575, 0.2467)
Ag (0.2603, 0.6250, 0.1353)
Ag (0.3750, 0.5103, 0.6353)
Ag (0.4897, 0.1250, 0.8647)
Ag (0.8750, 0.7397, 0.3647)
Pd (0.0000, 0.0000, 0.0000)
Pd (0.7500, 0.2500, 0.5000)



The following is a DFT calculation (PBE) of crystalline Li6AgPd5 at its relaxed geometry.

Formation energy ... -0.399 eV/atom
Energy above the most stable polymorph in this dataset ... 0.0 meV per atom
E_tot ... -45.1 eV for the cell shown

a b c (Å): 4.2516 6.0619 6.7064
angles (deg): 90.00 108.12 90.00
Element x y z (fractional)
Li (0.0000, 0.2414, 0.0000)
Li (0.0000, 0.7586, 0.0000)
Li (0.3295, 0.2458, 0.6597)
Li (0.3295, 0.7542, 0.6597)
Li (0.6705, 0.2458, 0.3403)
Li (0.6705, 0.7542, 0.3403)
Ag (0.5000, 0.5000, 0.0000)
Pd (0.1655, 0.5000, 0.3310)
Pd (0.1656, 0.0000, 0.3308)
Pd (0.5000, 0.0000, 0.0000)
Pd (0.8344, 0.0000, 0.6692)
Pd (0.8345, 0.5000, 0.6690)



The following is a DFT calculation (PBE) of crystalline Li5Ag2Pd6 at its relaxed geometry.

Formation energy ... -0.298 eV/atom
E_tot ... -100.6 eV for the cell shown

a b c (Å): 9.1531 15.3090 2.7897
angles (deg): 90.00 90.00 90.00
Element x y z (fractional)
Li (0.0000, 0.0000, 0.0000)
Li (0.1050, 0.2767, 0.0000)
Li (0.1973, 0.5526, 0.0000)
Li (0.3027, 0.0526, 0.0000)
Li (0.3950, 0.7767, 0.0000)
Li (0.5000, 0.5000, 0.0000)
Li (0.6050, 0.2233, 0.0000)
Li (0.6973, 0.9474, 0.0000)
Li (0.8027, 0.4474, 0.0000)
Li (0.8950, 0.7233, 0.0000)
Ag (0.1495, 0.7183, 0.5000)
Ag (0.3505, 0.2183, 0.5000)
Ag (0.6495, 0.7817, 0.5000)
Ag (0.8505, 0.2817, 0.5000)
Pd (0.0627, 0.4196, 0.5000)
Pd (0.0753, 0.1375, 0.5000)
Pd (0.1842, 0.8824, 0.0000)
Pd (0.3158, 0.3824, 0.0000)
Pd (0.4247, 0.6375, 0.5000)
Pd (0.4373, 0.9196, 0.5000)
Pd (0.5627, 0.0804, 0.5000)
Pd (0.5753, 0.3625, 0.5000)
Pd (0.6842, 0.6176, 0.0000)
Pd (0.8158, 0.1176, 0.0000)
Pd (0.9247, 0.8625, 0.5000)
Pd (0.9373, 0.5804, 0.5000)



The following is a DFT calculation (PBE) of crystalline LiAg4Pd at its relaxed geometry.

Formation energy ... -0.130 eV/atom
Energy above the most stable polymorph in this dataset ... 0.0 meV per atom
E_tot ... -19.3 eV for the cell shown

a b c (Å): 4.9826 4.9826 5.6607
angles (deg): 106.73 106.73 49.13
Element x y z (fractional)
Li (0.0000, 0.0000, 0.0000)
Ag (0.3347, 0.3347, 0.1674)
Ag (0.3346, 0.3346, 0.6691)
Ag (0.6654, 0.6654, 0.3309)
Ag (0.6653, 0.6653, 0.8326)
Pd (0.0000, 0.0000, 0.5000)



The following is a DFT calculation (PBE) of crystalline Li3AgPd5 at its relaxed geometry.

Formation energy ... -0.274 eV/atom
E_tot ... -74.0 eV for the cell shown

a b c (Å): 7.5255 7.5255 5.3445
angles (deg): 90.00 90.00 120.00
Element x y z (fractional)
Li (0.0000, 0.3381, 0.2500)
Li (0.0000, 0.6619, 0.7500)
Li (0.3381, 0.0000, 0.2500)
Li (0.3381, 0.3381, 0.7500)
Li (0.6619, 0.0000, 0.7500)
Li (0.6619, 0.6619, 0.2500)
Ag (0.0000, 0.0000, 0.0000)
Ag (0.0000, 0.0000, 0.5000)
Pd (0.0000, 0.3359, 0.7500)
Pd (0.0000, 0.6641, 0.2500)
Pd (0.3333, 0.6667, 0.0000)
Pd (0.3333, 0.6667, 0.5000)
Pd (0.3359, 0.0000, 0.7500)
Pd (0.3359, 0.3359, 0.2500)
Pd (0.6641, 0.0000, 0.2500)
Pd (0.6641, 0.6641, 0.7500)
Pd (0.6667, 0.3333, 0.0000)
Pd (0.6667, 0.3333, 0.5000)



The following is a DFT calculation (PBE) of crystalline Li2AgPd at its relaxed geometry.

Formation energy ... -0.331 eV/atom
Energy above the most stable polymorph in this dataset ... 3.3 meV per atom
E_tot ... -13.2 eV for the cell shown

a b c (Å): 4.3408 4.3408 4.3408
angles (deg): 60.00 60.00 60.00
Element x y z (fractional)
Li (0.2500, 0.2500, 0.2500)
Li (0.7500, 0.7500, 0.7500)
Ag (0.0000, 0.0000, 0.0000)
Pd (0.5000, 0.5000, 0.5000)



The following is a DFT calculation (PBE) of crystalline Li2Ag3Pd4 at its relaxed geometry.

Formation energy ... -0.211 eV/atom
Energy above the most stable polymorph in this dataset ... 0.0 meV per atom
E_tot ... -35.1 eV for the cell shown

a b c (Å): 4.8907 4.8907 8.3904
angles (deg): 107.91 107.91 48.61
Element x y z (fractional)
Li (0.1638, 0.1638, 0.2146)
Li (0.8362, 0.8362, 0.7854)
Ag (0.1697, 0.1697, 0.5584)
Ag (0.5000, 0.5000, 0.0000)
Ag (0.8303, 0.8303, 0.4416)
Pd (0.1660, 0.1660, 0.8908)
Pd (0.4945, 0.4945, 0.3311)
Pd (0.5055, 0.5055, 0.6689)
Pd (0.8340, 0.8340, 0.1092)



The following is a DFT calculation (PBE) of crystalline Li6Ag2Pd at its relaxed geometry.

Formation energy ... -0.052 eV/atom
Energy above the most stable polymorph in this dataset ... 177.8 meV per atom
E_tot ... -22.8 eV for the cell shown

a b c (Å): 7.5783 7.5783 4.3546
angles (deg): 106.54 106.54 48.07
Element x y z (fractional)
Li (0.0811, 0.6003, 0.3425)
Li (0.2319, 0.7681, 0.0000)
Li (0.3997, 0.9189, 0.6575)
Li (0.6003, 0.0811, 0.3425)
Li (0.7681, 0.2319, 0.0000)
Li (0.9189, 0.3997, 0.6575)
Ag (0.3330, 0.3330, 0.8355)
Ag (0.6670, 0.6670, 0.1645)
Pd (0.0000, 0.0000, 0.5000)



Number 1: total moment 0.000 μB/f.u.. Number 2: total moment 0.000 μB/f.u.. Number 3: total moment 0.000 μB/f.u.. Number 4: total moment 0.000 μB/f.u.. Number 5: total moment 0.000 μB/f.u.. Number 6: total moment 0.000 μB/f.u.. Number 7: total moment 0.000 μB/f.u.. Number 8: total moment 0.000 μB/f.u.. Number 9: total moment 0.000 μB/f.u.. Number 10: total moment 0.000 μB/f.u.. Number 11: total moment 0.000 μB/f.u.. Number 12: total moment 0.000 μB/f.u.. Number 13: total moment 0.000 μB/f.u.. Number 14: total moment 0.000 μB/f.u.. Number 15: total moment 0.000 μB/f.u.. Number 16: total moment 0.000 μB/f.u.. Number 17: total moment 0.000 μB/f.u.. Number 18: total moment 0.000 μB/f.u.. Number 19: total moment 0.000 μB/f.u.. Number 20: total moment 0.000 μB/f.u..